Compound: NbInS2
Source: Alexandria via LeMat-Bulk
Functional: GGA-PBE
Structure: optimized geometry

Cell: 8.9795 8.9795 8.9795 Å, 21.50 21.50 21.50°
Last column: nearest neighbours and their distance in Å.
Fractional positions:
Nb: 0.0000 0.0000 0.0000  6 S 2.50
In: 0.8337 0.8337 0.8337  6 In 3.35, 6 S 3.39-3.40
S: 0.3938 0.3938 0.3938  3 Nb 2.50
S: 0.6062 0.6062 0.6062  3 Nb 2.50

Results
total magnetization = 0.00 μB per atom
Fermi-level density of states = 1.70 states/eV/cell
crystal system = trigonal
SG = R3m
VASP energy = -24.10 eV/cell
formation energy from raw total energies = -0.760 eV per atom

Compound: NbInS2
Source: Alexandria via LeMat-Bulk
Functional: GGA-PBE
Structure: optimized geometry

Cell: 9.2449 9.2449 9.2449 Å, 20.86 20.86 20.86°
Last column: nearest neighbours and their distance in Å.
Fractional positions:
Nb: 0.0000 0.0000 0.0000  6 S 2.50
In: 0.5000 0.5000 0.5000  2 S 2.94
S: 0.3916 0.3916 0.3916  3 Nb 2.50
S: 0.6084 0.6084 0.6084  3 Nb 2.50

Results
total magnetization = 0.00 μB per atom
Fermi-level density of states = 2.23 states/eV/cell
crystal system = trigonal
SG = R-3m
VASP energy = -24.19 eV/cell
formation energy from raw total energies = -0.783 eV per atom

Compound: NbInS2
Source: Alexandria via LeMat-Bulk
Functional: GGA-PBE
Structure: optimized geometry

Cell: 3.3817 3.3817 8.2564 Å, 90.00 90.00 120.00°
Last column: nearest neighbours and their distance in Å.
Fractional positions:
Nb: 0.0000 0.0000 0.0000  6 S 2.50
In: 0.0000 0.0000 0.5000  6 S 3.22, 6 In 3.38
S: 0.3333 0.6667 0.1899  3 Nb 2.50
S: 0.3333 0.6667 0.8101  3 Nb 2.50

Results
total magnetization = 0.00 μB per atom
Fermi-level density of states = 1.33 states/eV/cell
crystal system = hexagonal
SG = P-6m2
VASP energy = -24.51 eV/cell
formation energy from raw total energies = -0.861 eV per atom